a.
Compound: Ta3TiRe
Source: the Alexandria database
Functional: PBE-GGA
Structure: relaxed

Lattice parameters (Å, degrees): 5.3368 7.8003 8.8911 90.00 90.00 90.00
With the nearest neighbours (Å) after each atom.
Fractional coordinates of all 20 atoms:
1 Ta 0.2672 0.0141 0.7500  2 Re 2.55, 2 Ta 2.80, 2 Ti 2.80-2.85
2 Ti 0.7935 0.8442 0.7500  5 Ta 2.80-3.11, 2 Re 2.98, 2 Ti 3.05
3 Ta 0.7328 0.9859 0.2500  2 Re 2.55, 2 Ta 2.80, 2 Ti 2.80-2.85
4 Ta 0.9246 0.1671 0.9462  2 Re 2.66-2.67, 4 Ta 2.80-2.97
5 Ti 0.2935 0.6558 0.7500  5 Ta 2.80-3.11, 2 Re 2.98, 2 Ti 3.05
6 Ta 0.0754 0.8329 0.4462  2 Re 2.66-2.67, 4 Ta 2.80-2.97
7 Ta 0.5754 0.6671 0.0538  2 Re 2.66-2.67, 4 Ta 2.80-2.97
8 Ta 0.0754 0.8329 0.0538  2 Re 2.66-2.67, 4 Ta 2.80-2.97
9 Ta 0.4246 0.3329 0.9462  2 Re 2.66-2.67, 4 Ta 2.80-2.97
10 Re 0.5000 0.0000 0.5000  6 Ta 2.55-2.67
11 Ta 0.2328 0.5141 0.2500  2 Re 2.55, 2 Ta 2.80, 2 Ti 2.80-2.85
12 Ti 0.7065 0.3442 0.2500  5 Ta 2.80-3.11, 2 Re 2.98, 2 Ti 3.05
13 Re 0.5000 0.0000 0.0000  6 Ta 2.55-2.67
14 Ta 0.7672 0.4859 0.7500  2 Re 2.55, 2 Ta 2.80, 2 Ti 2.80-2.85
15 Re 0.0000 0.5000 0.5000  6 Ta 2.55-2.67
16 Ta 0.9246 0.1671 0.5538  2 Re 2.66-2.67, 4 Ta 2.80-2.97
17 Ti 0.2065 0.1558 0.2500  5 Ta 2.80-3.11, 2 Re 2.98, 2 Ti 3.05
18 Ta 0.4246 0.3329 0.5538  2 Re 2.66-2.67, 4 Ta 2.80-2.97
19 Re 0.0000 0.5000 0.0000  6 Ta 2.55-2.67
20 Ta 0.5754 0.6671 0.4462  2 Re 2.66-2.67, 4 Ta 2.80-2.97

## Properties
Size of the total moment (Bohr magnetons per cell): 0.00
Calculated volume (Å³/f.u.): 92.5
Space-group type: Pnma



b.
Compound: Ta3TiRe
Source: the Alexandria database
Functional: PBE-GGA
Structure: relaxed

Lattice parameters (Å, degrees): 4.8364 4.8364 4.8364 90.00 90.00 90.00
With the nearest neighbours (Å) after each atom.
Fractional coordinates of all 5 atoms:
1 Re 0.0000 0.0000 0.0000  6 Ta 2.42
2 Ta 0.5000 0.0000 0.0000  2 Re 2.42
3 Ta 0.0000 0.5000 0.0000  2 Re 2.42
4 Ta 0.0000 0.0000 0.5000  2 Re 2.42
5 Ti 0.5000 0.5000 0.5000  12 Ta 3.42

## Properties
Size of the total moment (Bohr magnetons per cell): 0.01
Calculated volume (Å³/f.u.): 113.1
Space-group type: Pm-3m



Last place for stability: b



a.
Compound: TaTl2Re
Source: the Alexandria database
Functional: PBE-GGA
Structure: relaxed

Lattice parameters (Å, degrees): 9.6429 9.6429 9.6429 18.44 18.44 18.44
With the nearest neighbours (Å) after each atom.
Fractional coordinates of all 4 atoms:
1 Re 0.2500 0.2500 0.2500  6 Tl 2.89, 6 Re 3.09
2 Ta 0.7500 0.7500 0.7500  6 Tl 3.04, 6 Ta 3.09
3 Tl 0.9969 0.9969 0.9969  3 Re 2.89, 3 Ta 3.04, 6 Tl 3.09
4 Tl 0.5031 0.5031 0.5031  3 Re 2.89, 3 Ta 3.04, 6 Tl 3.09

## Properties
Size of the total moment (Bohr magnetons per cell): 0.00
Calculated volume (Å³/f.u.): 78.4
Space-group type: R-3m



b.
Compound: TaTl2Re
Source: the Alexandria database
Functional: PBE-GGA
Structure: relaxed

Lattice parameters (Å, degrees): 3.0533 3.0533 10.4407 90.00 90.00 113.02
With the nearest neighbours (Å) after each atom.
Fractional coordinates of all 4 atoms:
1 Re 0.0000 0.0000 0.5317  2 Ta 2.52
2 Tl 0.5000 0.5000 0.2829  6 Tl 3.05-3.37, 2 Re 3.10
3 Tl 0.0000 0.0000 0.9742  6 Tl 3.05-3.37, 2 Ta 3.22
4 Ta 0.5000 0.5000 0.7113  2 Re 2.52

## Properties
Size of the total moment (Bohr magnetons per cell): 0.00
Calculated volume (Å³/f.u.): 89.6
Space-group type: Cmm2



Last place for stability: a



a.
Compound: TaTlRe
Source: the Alexandria database
Functional: PBE-GGA
Structure: relaxed

Lattice parameters (Å, degrees): 4.5227 4.5227 4.5227 60.00 60.00 60.00
With the nearest neighbours (Å) after each atom.
Fractional coordinates of all 3 atoms:
1 Re 0.5000 0.5000 0.5000  4 Ta 2.77
2 Ta 0.7500 0.7500 0.7500  4 Tl 2.77, 4 Re 2.77
3 Tl 0.0000 0.0000 0.0000  4 Ta 2.77

## Properties
Size of the total moment (Bohr magnetons per cell): 0.00
Calculated volume (Å³/f.u.): 65.4
Space-group type: F-43m



b.
Compound: TaTlRe
Source: the Alexandria database
Functional: PBE-GGA
Structure: relaxed

Lattice parameters (Å, degrees): 4.6985 4.6985 2.8782 90.00 90.00 120.00
With the nearest neighbours (Å) after each atom.
Fractional coordinates of all 3 atoms:
1 Re 0.0000 0.0000 0.9946  3 Tl 2.82, 3 Ta 2.84, 2 Re 2.88
2 Ta 0.6667 0.3333 0.2840  3 Re 2.84, 2 Ta 2.88, 6 Tl 2.99-3.16
3 Tl 0.3333 0.6667 0.7214  3 Re 2.82, 2 Tl 2.88, 6 Ta 2.99-3.16

## Properties
Size of the total moment (Bohr magnetons per cell): 0.00
Calculated volume (Å³/f.u.): 55.0
Space-group type: P3m1



c.
Compound: TaTlRe
Source: the Alexandria database
Functional: PBE-GGA
Structure: relaxed

Lattice parameters (Å, degrees): 7.5797 7.3197 3.0033 83.28 73.55 23.17
With the nearest neighbours (Å) after each atom.
Fractional coordinates of all 3 atoms:
1 Tl 0.3353 0.3353 0.6647  2 Re 3.00, 6 Tl 3.00-3.21, 2 Ta 3.07
2 Ta 0.6519 0.6519 0.3481  2 Re 2.55
3 Re 0.0129 0.0129 0.9871  2 Ta 2.55

## Properties
Size of the total moment (Bohr magnetons per cell): 0.00
Calculated volume (Å³/f.u.): 58.2
Space-group type: Fmm2



d.
Compound: TaTlRe
Source: the Alexandria database
Functional: PBE-GGA
Structure: relaxed

Lattice parameters (Å, degrees): 3.1849 3.1849 6.8226 90.00 90.00 120.00
With the nearest neighbours (Å) after each atom.
Fractional coordinates of all 3 atoms:
1 Ta 0.3333 0.6667 0.2948  3 Re 2.56
2 Re 0.0000 0.0000 0.0339  3 Ta 2.56
3 Tl 0.6667 0.3333 0.6713  3 Re 3.08, 3 Ta 3.16, 6 Tl 3.18

## Properties
Size of the total moment (Bohr magnetons per cell): 0.00
Calculated volume (Å³/f.u.): 59.9
Space-group type: P3m1



Last place for stability: a



a.
Compound: TaTlRe
Source: the Alexandria database
Functional: PBE-GGA
Structure: relaxed

Lattice parameters (Å, degrees): 5.5249 5.5249 5.5249 144.66 144.66 50.84
With the nearest neighbours (Å) after each atom.
Fractional coordinates of all 3 atoms:
1 Ta 0.3531 0.3531 0.0000  4 Re 2.70
2 Re 0.9826 0.9826 0.0000  4 Ta 2.70, 4 Tl 2.99
3 Tl 0.6643 0.6643 0.0000  5 Re 2.99-3.18, 5 Ta 3.03-3.11

## Properties
Size of the total moment (Bohr magnetons per cell): 0.00
Calculated volume (Å³/f.u.): 56.1
Space-group type: I4mm



b.
Compound: TaTlRe
Source: the Alexandria database
Functional: PBE-GGA
Structure: relaxed

Lattice parameters (Å, degrees): 4.5111 4.5111 4.5111 60.00 60.00 60.00
With the nearest neighbours (Å) after each atom.
Fractional coordinates of all 3 atoms:
1 Tl 0.5000 0.5000 0.5000  4 Re 2.76
2 Re 0.7500 0.7500 0.7500  4 Tl 2.76, 4 Ta 2.76
3 Ta 0.0000 0.0000 0.0000  4 Re 2.76

## Properties
Size of the total moment (Bohr magnetons per cell): 0.00
Calculated volume (Å³/f.u.): 64.9
Space-group type: F-43m



Last place for stability: b



a.
Compound: TaTlRe3
Source: the Alexandria database
Functional: PBE-GGA
Structure: relaxed

Lattice parameters (Å, degrees): 4.8075 4.8075 4.8075 90.00 90.00 90.00
With the nearest neighbours (Å) after each atom.
Fractional coordinates of all 5 atoms:
1 Re 0.0000 0.0000 0.5000  2 Tl 2.40
2 Re 0.5000 0.0000 0.0000  2 Tl 2.40
3 Tl 0.0000 0.0000 0.0000  6 Re 2.40
4 Ta 0.5000 0.5000 0.5000  12 Re 3.40
5 Re 0.0000 0.5000 0.0000  2 Tl 2.40

## Properties
Size of the total moment (Bohr magnetons per cell): 0.00
Calculated volume (Å³/f.u.): 111.1
Space-group type: Pm-3m



b.
Compound: TaTlRe3
Source: the Alexandria database
Functional: PBE-GGA
Structure: relaxed

Lattice parameters (Å, degrees): 4.8371 4.8371 4.8371 90.00 90.00 90.00
With the nearest neighbours (Å) after each atom.
Fractional coordinates of all 5 atoms:
1 Re 0.0000 0.5000 0.0000  2 Ta 2.42
2 Re 0.0000 0.0000 0.5000  2 Ta 2.42
3 Ta 0.0000 0.0000 0.0000  6 Re 2.42
4 Tl 0.5000 0.5000 0.5000  12 Re 3.42
5 Re 0.5000 0.0000 0.0000  2 Ta 2.42

## Properties
Size of the total moment (Bohr magnetons per cell): 2.83
Calculated volume (Å³/f.u.): 113.2
Space-group type: Pm-3m



Last place for stability: a